{"formula": "BSb2Pb", "functional": "PBE", "state": "relaxed", "raw_formation_energy_ev_per_atom": 1.082, "space_group": "No. 225", "e_tot_ev_per_cell": -14.3, "lattice_angstrom": [[4.606, -1.681, 1.619], [3.125, 3.162, 2.627], [0.836, -0.792, 5.034]], "species": ["Pb", "Sb", "Sb", "B"], "frac_coords": [[0.500, 0.500, 0.500], [0.250, 0.250, 0.250], [0.750, 0.750, 0.750], [0.000, 0.000, 0.000]]}